# Y2CrP

Crystalline Y2CrP at its relaxed geometry (PBE-GGA, the Alexandria database). Values from VASP.

Results
- Space-group type: P4mm (99)
- E_form: -0.20 eV/atom

Geometry as Quantum ESPRESSO input:
```
&SYSTEM
  ibrav = 0, nat = 4, ntyp = 3
/
ATOMIC_SPECIES
Y 88.91 Y.upf
Cr 52.00 Cr.upf
P 30.97 P.upf
CELL_PARAMETERS angstrom
4.047 0.000 0.000
0.000 4.047 0.000
0.000 0.000 5.823
ATOMIC_POSITIONS crystal
Y 0.000 0.000 0.000
Y 0.500 0.500 0.393
Cr 0.000 0.000 0.510
P 0.500 0.500 0.897
```

# ScPaCoPd

Crystalline ScPaCoPd at its relaxed geometry (PBE-GGA, the Alexandria database). Values from VASP.

Results
- Space-group type: F-43m (216)
- E_form: -0.34 eV/atom

Geometry as Quantum ESPRESSO input:
```
&SYSTEM
  ibrav = 0, nat = 4, ntyp = 4
/
ATOMIC_SPECIES
Sc 44.96 Sc.upf
Pa 231.04 Pa.upf
Co 58.93 Co.upf
Pd 106.42 Pd.upf
CELL_PARAMETERS angstrom
0.000 3.347 3.347
3.347 0.000 3.347
3.347 3.347 0.000
ATOMIC_POSITIONS crystal
Sc 0.000 0.000 0.000
Pa 0.500 0.500 0.500
Co 0.250 0.250 0.250
Pd 0.750 0.750 0.750
```

# BaTiBe3

Crystalline BaTiBe3 at its relaxed geometry (PBE-GGA, the Alexandria database). Values from VASP.

Results
- Space-group type: Pm-3m (221)
- E_form: 0.94 eV/atom
- Relative energy among the computed polymorphs: 0.000 eV/atom

Geometry as Quantum ESPRESSO input:
```
&SYSTEM
  ibrav = 0, nat = 5, ntyp = 3
/
ATOMIC_SPECIES
Ba 137.33 Ba.upf
Ti 47.87 Ti.upf
Be 9.01 Be.upf
CELL_PARAMETERS angstrom
4.865 0.000 0.000
0.000 4.865 0.000
0.000 0.000 4.865
ATOMIC_POSITIONS crystal
Ba 0.000 0.000 0.000
Ti 0.500 0.500 0.500
Be 0.000 0.500 0.500
Be 0.500 0.000 0.500
Be 0.500 0.500 0.000
```

# Tb2SmEr6Tm3

Crystalline Tb2SmEr6Tm3 at its relaxed geometry (PBE-GGA, the Alexandria database). Values from VASP.

Results
- Space-group type: C2/m (12)
- E_form: 0.02 eV/atom

Geometry as Quantum ESPRESSO input:
```
&SYSTEM
  ibrav = 0, nat = 12, ntyp = 4
/
ATOMIC_SPECIES
Tb 158.93 Tb.upf
Sm 150.36 Sm.upf
Er 167.26 Er.upf
Tm 168.93 Tm.upf
CELL_PARAMETERS angstrom
3.050 -5.276 0.000
3.050 5.276 0.000
-2.026 0.000 11.479
ATOMIC_POSITIONS crystal
Tb 0.167 0.833 0.000
Tb 0.833 0.167 0.000
Sm 0.500 0.500 0.000
Er 0.081 0.415 0.747
Er 0.251 0.251 0.253
Er 0.415 0.081 0.747
Er 0.585 0.919 0.253
Er 0.749 0.749 0.747
Er 0.919 0.585 0.253
Tm 0.000 0.000 0.500
Tm 0.333 0.667 0.500
Tm 0.667 0.333 0.500
```

# Cs2ScSb2S6

Crystalline Cs2ScSb2S6 at its relaxed geometry (PBE-GGA, the Alexandria database). Values from VASP.

Results
- Space-group type: C2/m (12)
- Formation energy (no corrections): -77.65 kJ/mol of atoms

Geometry as Quantum ESPRESSO input:
```
&SYSTEM
  ibrav = 0, nat = 11, ntyp = 4
/
ATOMIC_SPECIES
Cs 132.91 Cs.upf
Sc 44.96 Sc.upf
Sb 121.76 Sb.upf
S 32.06 S.upf
CELL_PARAMETERS angstrom
6.171 -3.667 0.000
6.171 3.667 0.000
-3.769 0.000 7.745
ATOMIC_POSITIONS crystal
Cs 0.203 0.203 0.170
Cs 0.797 0.797 0.830
Sc 0.000 0.000 0.500
Sb 0.436 0.436 0.788
Sb 0.564 0.564 0.212
S 0.196 0.726 0.249
S 0.226 0.226 0.582
S 0.274 0.804 0.751
S 0.726 0.196 0.249
S 0.774 0.774 0.418
S 0.804 0.274 0.751
```

# Zn7GaAu4

Crystalline Zn7GaAu4 at its relaxed geometry (PBE-GGA, the Alexandria database). Values from VASP.

Results
- Space-group type: C2/m (12)
- E_form: -0.06 eV/atom

Geometry as Quantum ESPRESSO input:
```
&SYSTEM
  ibrav = 0, nat = 12, ntyp = 3
/
ATOMIC_SPECIES
Zn 65.41 Zn.upf
Ga 69.72 Ga.upf
Au 196.97 Au.upf
CELL_PARAMETERS angstrom
5.860 -2.365 0.000
5.860 2.365 0.000
-5.596 0.000 7.817
ATOMIC_POSITIONS crystal
Zn 0.000 0.000 0.000
Zn 0.143 0.143 0.561
Zn 0.284 0.284 0.115
Zn 0.433 0.433 0.660
Zn 0.567 0.567 0.340
Zn 0.716 0.716 0.885
Zn 0.857 0.857 0.439
Ga 0.500 0.500 0.000
Au 0.081 0.081 0.781
Au 0.219 0.219 0.336
Au 0.781 0.781 0.664
Au 0.919 0.919 0.219
```

In the order shown, the computed total DFT energy (no corrections) values come out to -7.187; -7.372; -3.262; -4.542; -4.536; -2.153 eV per atom.